# BaSnSe2Br, relaxed, DFT PBE
# Electronic total energy (eV per atom): -3.1200
# E_form (uncorrected) (eV per atom): -0.21
data_BaSnSe2Br
_cell_length_a 6.0078
_cell_length_b 6.0078
_cell_length_c 5.9862
_cell_angle_alpha 90.00
_cell_angle_beta 90.00
_cell_angle_gamma 90.00
_space_group_name_H-M_alt 'P 4/m m m'
_space_group_IT_number 123
_space_group_name_Hall '-P 4 2'
loop_
_atom_site_label
_atom_site_fract_x
_atom_site_fract_y
_atom_site_fract_z
_atom_site_occupancy
Ba1 0.0000 0.0000 0.0000 1
Sn1 0.5000 0.5000 0.5000 1
Se1 0.0000 0.5000 0.0000 1
Br1 0.0000 0.0000 0.5000 1

***

# In5Hg2Bi4, relaxed, DFT PBE
# Electronic total energy (eV per atom): -2.6775
# E_form (meV/atom): 33.4
data_In5Hg2Bi4
_cell_length_a 8.6033
_cell_length_b 21.7226
_cell_length_c 3.4562
_cell_angle_alpha 90.00
_cell_angle_beta 90.00
_cell_angle_gamma 90.00
_space_group_name_H-M_alt 'P b a m'
_space_group_IT_number 55
loop_
_space_group_symop_operation_xyz
'x,y,z'
'-x,-y,-z'
'-x,-y,z'
'x,y,-z'
'x+1/2,-y+1/2,-z'
'-x+1/2,y+1/2,z'
'-x+1/2,y+1/2,-z'
'x+1/2,-y+1/2,z'
loop_
_atom_site_label
_atom_site_fract_x
_atom_site_fract_y
_atom_site_fract_z
_atom_site_occupancy
In1 0.0000 0.0000 0.0000 1
In2 0.1338 0.3121 0.0000 1
In3 0.1834 0.5867 0.0000 1
Hg1 0.1725 0.7183 0.5000 1
Bi1 0.0092 0.8620 0.5000 1
Bi2 0.1656 0.4455 0.5000 1

***

# BaCaBr2, relaxed, DFT PBE
# Electronic total energy (eV per atom): -2.6081
# E_form (uncorrected) (eV per atom): -0.79
data_BaCaBr2
_cell_length_a 8.5038
_cell_length_b 8.5038
_cell_length_c 8.5038
_cell_angle_alpha 90.00
_cell_angle_beta 90.00
_cell_angle_gamma 90.00
_space_group_name_H-M_alt 'F -4 3 m'
_space_group_IT_number 216
_space_group_name_Hall 'F -4 2 3'
loop_
_atom_site_label
_atom_site_fract_x
_atom_site_fract_y
_atom_site_fract_z
_atom_site_occupancy
Ba1 0.0000 0.0000 0.0000 1
Ca1 0.2500 0.2500 0.7500 1
Br1 0.0000 0.0000 0.5000 1
Br2 0.2500 0.2500 0.2500 1

***

# Ba2PmEu, relaxed, DFT PBE
# Electronic total energy (eV per atom): -4.5223
# E_form (meV/atom): 195.4
data_Ba2PmEu
_cell_length_a 9.1938
_cell_length_b 9.1938
_cell_length_c 9.1938
_cell_angle_alpha 90.00
_cell_angle_beta 90.00
_cell_angle_gamma 90.00
_space_group_name_H-M_alt 'F m -3 m'
_space_group_IT_number 225
_space_group_name_Hall '-F 4 2 3'
loop_
_atom_site_label
_atom_site_fract_x
_atom_site_fract_y
_atom_site_fract_z
_atom_site_occupancy
Ba1 0.2500 0.2500 0.2500 1
Pm1 0.0000 0.0000 0.0000 1
Eu1 0.0000 0.0000 0.5000 1

***

# U2SiMo, relaxed, DFT PBE
# Electronic total energy (eV per atom): -9.8682
# E_form (uncorrected) (eV per atom): -0.16
data_U2SiMo
_cell_length_a 4.0432
_cell_length_b 4.0432
_cell_length_c 4.3628
_cell_angle_alpha 90.00
_cell_angle_beta 90.00
_cell_angle_gamma 90.00
_space_group_name_H-M_alt 'P 4/m m m'
_space_group_IT_number 123
_space_group_name_Hall '-P 4 2'
loop_
_atom_site_label
_atom_site_fract_x
_atom_site_fract_y
_atom_site_fract_z
_atom_site_occupancy
U1 0.0000 0.5000 0.0000 1
Si1 0.0000 0.0000 0.5000 1
Mo1 0.5000 0.5000 0.5000 1

***

# Mn3PRu, relaxed, DFT PBE
# Electronic total energy (eV per atom): -7.8611
# E_form (meV/atom): 577.8
data_Mn3PRu
_cell_length_a 4.2354
_cell_length_b 4.2354
_cell_length_c 4.2354
_cell_angle_alpha 90.00
_cell_angle_beta 90.00
_cell_angle_gamma 90.00
_space_group_name_H-M_alt 'P m -3 m'
_space_group_IT_number 221
_space_group_name_Hall '-P 4 2 3'
loop_
_atom_site_label
_atom_site_fract_x
_atom_site_fract_y
_atom_site_fract_z
_atom_site_occupancy
Mn1 0.0000 0.0000 0.5000 1
P1 0.0000 0.0000 0.0000 1
Ru1 0.5000 0.5000 0.5000 1